(1)
Density functional theory data (PBE) for Hf3CdI after structural relaxation.

a = 5.195 Å, b = 5.195 Å, c = 5.195 Å
α = 90.00°, β = 90.00°, γ = 90.00°
Space group Pm-3m (No. 221)
Unique sites:
Hf  0.000  0.000  0.500 (multiplicity 3)
Cd  0.500  0.500  0.500 (multiplicity 1)
I  0.000  0.000  0.000 (multiplicity 1)

Values from the calculation:
Excess energy over the best structure of this formula in the dataset (meV/atom): 0
Energy relative to the elements, uncorrected (eV/f.u.): 5.93
Fermi-level density of states (states/eV per cell): 3.16


(2)
Density functional theory data (PBE) for ErBeAlCu6 after structural relaxation.

a = 6.196 Å, b = 7.963 Å, c = 10.658 Å
α = 90.00°, β = 90.00°, γ = 90.00°
Space group Imma (No. 74)
Unique sites:
Er  0.000  0.250  0.207 (multiplicity 4)
Be  0.000  0.000  0.000 (multiplicity 4)
Al  0.250  0.250  0.750 (multiplicity 4)
Cu  0.000  0.250  0.491 (multiplicity 4)
Cu  0.000  0.250  0.929 (multiplicity 4)
Cu  0.201  0.002  0.617 (multiplicity 16)

Values from the calculation:
E_form (meV per atom): 78
Fermi-level density of states (states/eV per cell): 14.95